Record 1
# KUMnN4, optimized geometry, DFT GGA-PBE
# * total magnetic moment: 0.000 μB per atom
# * raw formation energy: -0.551 eV/atom
data_KUMnN4
_chemical_formula_sum 'K2 U2 Mn2 N8'
_space_group_name_H-M_alt 'P 1 21/m 1'
_space_group_IT_number 11
_space_group_name_Hall '-P 2yb'
_cell_length_a 5.6825
_cell_length_b 5.4356
_cell_length_c 7.5540
_cell_angle_alpha 90.00
_cell_angle_beta 106.39
_cell_angle_gamma 90.00
loop_
_atom_site_label
_atom_site_type_symbol
_atom_site_fract_x
_atom_site_fract_y
_atom_site_fract_z
K1 K 0.2127 0.2500 0.4348
U1 U 0.2745 0.2500 0.9547
Mn1 Mn 0.2654 0.7500 0.1589
N1 N 0.0573 0.7500 0.9461
N2 N 0.0637 0.7500 0.2869
N3 N 0.4803 0.5084 0.1729

=====

Record 2
# K3U3MnN8, optimized geometry, DFT GGA-PBE
# * total magnetic moment: 0.271 μB per atom
# * raw formation energy: -0.789 eV/atom
data_K3U3MnN8
_chemical_formula_sum 'K9 U9 Mn3 N24'
_space_group_name_H-M_alt 'R -3 m'
_space_group_IT_number 166
_space_group_name_Hall '-R 3 2"'
_cell_length_a 6.8238
_cell_length_b 6.8238
_cell_length_c 19.1935
_cell_angle_alpha 90.00
_cell_angle_beta 90.00
_cell_angle_gamma 120.00
loop_
_atom_site_label
_atom_site_type_symbol
_atom_site_fract_x
_atom_site_fract_y
_atom_site_fract_z
K1 K 0.0000 0.5000 0.0000
U1 U 0.0000 0.5000 0.5000
Mn1 Mn 0.0000 0.0000 0.5000
N1 N 0.0000 0.0000 0.2209
N2 N 0.0053 0.5026 0.7825

=====

Record 3
# K4U3MnN8, optimized geometry, DFT GGA-PBE
# * total magnetic moment: 0.314 μB per atom
# * raw formation energy: -0.776 eV/atom
data_K4U3MnN8
_chemical_formula_sum 'K12 U9 Mn3 N24'
_space_group_name_H-M_alt 'R -3 m'
_space_group_IT_number 166
_space_group_name_Hall '-R 3 2"'
_cell_length_a 6.9429
_cell_length_b 6.9429
_cell_length_c 19.0578
_cell_angle_alpha 90.00
_cell_angle_beta 90.00
_cell_angle_gamma 120.00
loop_
_atom_site_label
_atom_site_type_symbol
_atom_site_fract_x
_atom_site_fract_y
_atom_site_fract_z
K1 K 0.0000 0.0000 0.0000
K2 K 0.0000 0.5000 0.0000
U1 U 0.0000 0.5000 0.5000
Mn1 Mn 0.0000 0.0000 0.5000
N1 N 0.0000 0.0000 0.2215
N2 N 0.0248 0.5124 0.7797

=====

Record 4
# K2MnWN, optimized geometry, DFT GGA-PBE
# * total magnetic moment: 1.355 μB per atom
# * raw formation energy: 0.927 eV/atom
data_K2MnWN
_chemical_formula_sum 'K2 Mn1 W1 N1'
_space_group_name_H-M_alt 'P 4/m m m'
_space_group_IT_number 123
_space_group_name_Hall '-P 4 2'
_cell_length_a 5.9928
_cell_length_b 5.9928
_cell_length_c 3.9069
_cell_angle_alpha 90.00
_cell_angle_beta 90.00
_cell_angle_gamma 90.00
loop_
_atom_site_label
_atom_site_type_symbol
_atom_site_fract_x
_atom_site_fract_y
_atom_site_fract_z
K1 K 0.0000 0.5000 0.0000
Mn1 Mn 0.0000 0.0000 0.5000
W1 W 0.5000 0.5000 0.5000
N1 N 0.5000 0.5000 0.0000

=====

Record 5
# KNa2Mn, optimized geometry, DFT GGA-PBE
# * ΔE to the lowest computed polymorph: 0.000 eV/atom
# * energy of formation from the pure elements: 575 meV per atom
# * total magnetic moment: 1.112 μB per atom
data_KNa2Mn
_chemical_formula_sum 'K4 Na8 Mn4'
_space_group_name_H-M_alt 'F m -3 m'
_space_group_IT_number 225
_space_group_name_Hall '-F 4 2 3'
_cell_length_a 8.2186
_cell_length_b 8.2186
_cell_length_c 8.2186
_cell_angle_alpha 90.00
_cell_angle_beta 90.00
_cell_angle_gamma 90.00
loop_
_atom_site_label
_atom_site_type_symbol
_atom_site_fract_x
_atom_site_fract_y
_atom_site_fract_z
K1 K 0.0000 0.0000 0.0000
Na1 Na 0.2500 0.2500 0.2500
Mn1 Mn 0.0000 0.0000 0.5000

=====

Record 6
# K3NaMn, optimized geometry, DFT GGA-PBE
# * ΔE to the lowest computed polymorph: 0.000 eV/atom
# * energy of formation from the pure elements: 637 meV per atom
# * total magnetic moment: 0.903 μB per atom
data_K3NaMn
_chemical_formula_sum 'K3 Na1 Mn1'
_space_group_name_H-M_alt 'P m -3 m'
_space_group_IT_number 221
_space_group_name_Hall '-P 4 2 3'
_cell_length_a 6.8124
_cell_length_b 6.8124
_cell_length_c 6.8124
_cell_angle_alpha 90.00
_cell_angle_beta 90.00
_cell_angle_gamma 90.00
loop_
_atom_site_label
_atom_site_type_symbol
_atom_site_fract_x
_atom_site_fract_y
_atom_site_fract_z
K1 K 0.0000 0.0000 0.5000
Na1 Na 0.5000 0.5000 0.5000
Mn1 Mn 0.0000 0.0000 0.0000

=====

Record 7
# KNa2Mn, optimized geometry, DFT GGA-PBE
# * ΔE to the lowest computed polymorph: 0.109 eV/atom
# * energy of formation from the pure elements: 684 meV per atom
# * total magnetic moment: 1.105 μB per atom
data_KNa2Mn
_chemical_formula_sum 'K4 Na8 Mn4'
_space_group_name_H-M_alt 'I -4 2 d'
_space_group_IT_number 122
_space_group_name_Hall 'I -4 2bw'
_cell_length_a 5.0220
_cell_length_b 5.0220
_cell_length_c 24.4416
_cell_angle_alpha 90.00
_cell_angle_beta 90.00
_cell_angle_gamma 90.00
loop_
_atom_site_label
_atom_site_type_symbol
_atom_site_fract_x
_atom_site_fract_y
_atom_site_fract_z
K1 K 0.0000 0.0000 0.0000
Na1 Na 0.2147 0.2500 0.6250
Mn1 Mn 0.0000 0.0000 0.5000

=====

Record 8
# KNa2Mn2, optimized geometry, DFT GGA-PBE
# * ΔE to the lowest computed polymorph: 0.043 eV/atom
# * energy of formation from the pure elements: 912 meV per atom
# * total magnetic moment: 0.789 μB per atom
data_KNa2Mn2
_chemical_formula_sum 'K2 Na4 Mn4'
_space_group_name_H-M_alt 'P 4/m b m'
_space_group_IT_number 127
_space_group_name_Hall '-P 4 2ab'
_cell_length_a 9.1993
_cell_length_b 9.1993
_cell_length_c 2.9727
_cell_angle_alpha 90.00
_cell_angle_beta 90.00
_cell_angle_gamma 90.00
loop_
_atom_site_label
_atom_site_type_symbol
_atom_site_fract_x
_atom_site_fract_y
_atom_site_fract_z
K1 K 0.0000 0.0000 0.0000
Na1 Na 0.1995 0.3005 0.5000
Mn1 Mn 0.0742 0.5742 0.0000

=====

> Among the records above, which one has the highest total magnetic moment?

K2MnWN